InSbOF2: optimized geometry, PBE.

It has space group P4/mmm (No. 123), with a = 4.581 Å, b = 4.581 Å, c = 4.249 Å, α = 90.00°, β = 90.00° and γ = 90.00°. The distinct sites, in fractional coordinates, are In at (0.000, 0.000, 0.000), Sb at (0.500, 0.500, 0.500), O at (0.000, 0.000, 0.500) and F at (0.000, 0.500, 0.000).

As for the energy: -4.28 eV/atom. As for the formation energy without anion corrections: -26.91 kcal/mol of atoms. The value obtained for the relative energy among the computed polymorphs is 331 meV/atom. The density of states at the Fermi level is 2.12 states/eV/f.u. As for the density: 5.41 Mg/m³.

InSbOF2: optimized geometry, PBE.

It has space group P4/mmm (No. 123), with a = 4.644 Å, b = 4.644 Å, c = 4.278 Å, α = 90.00°, β = 90.00° and γ = 90.00°. The distinct sites, in fractional coordinates, are In at (0.000, 0.000, 0.000), Sb at (0.500, 0.500, 0.500), O at (0.500, 0.500, 0.000) and F at (0.000, 0.500, 0.500).

As for the energy: -4.61 eV/atom. As for the formation energy without anion corrections: -34.54 kcal/mol of atoms. The value obtained for the relative energy among the computed polymorphs is 0 meV/atom. The density of states at the Fermi level is 0.08 states/eV/f.u. As for the density: 5.23 Mg/m³.

Which of these has the highest density? number 1

Which value of relative energy among the computed polymorphs does entry 2 give? 0 meV/atom

Which formula does entry 1 have? InSbOF2

Among the records above, which one has the lowest density? number 2